1.
Entry from Alexandria via LeMat-Bulk: an optimized crystal structure of KReHg2 (PBE).

a b c (Å): 2.885 2.885 10.728
angles (deg): 90.00 90.00 90.00
Element x y z (fractional)
Hg  0.000  0.000  0.978
Hg  0.500  0.500  0.239
K  0.000  0.000  0.511
Re  0.500  0.500  0.772

## Properties
Total moment ... 0.00 μB/atom
ΔE_f ... 3.296 eV/f.u.
Energy ... -2.713 eV/atom

=====

2.
Entry from Alexandria via LeMat-Bulk: an optimized crystal structure of Nb3SnRh3 (PBE).

a b c (Å): 7.915 7.915 7.915
angles (deg): 90.00 90.00 90.00
Element x y z (fractional)
Nb  0.761  0.261  0.239
Nb  0.958  0.958  0.958
Nb  0.842  0.658  0.342
Nb  0.239  0.761  0.261
Nb  0.158  0.158  0.158
Nb  0.342  0.842  0.658
Nb  0.042  0.458  0.542
Nb  0.261  0.239  0.761
Nb  0.658  0.342  0.842
Nb  0.739  0.739  0.739
Nb  0.542  0.042  0.458
Nb  0.458  0.542  0.042
Sn  0.124  0.624  0.876
Sn  0.876  0.124  0.624
Sn  0.376  0.376  0.376
Sn  0.624  0.876  0.124
Rh  0.803  0.584  0.019
Rh  0.916  0.981  0.303
Rh  0.019  0.803  0.584
Rh  0.084  0.481  0.197
Rh  0.197  0.084  0.481
Rh  0.303  0.916  0.981
Rh  0.981  0.303  0.916
Rh  0.416  0.519  0.697
Rh  0.481  0.197  0.084
Rh  0.584  0.019  0.803
Rh  0.697  0.416  0.519
Rh  0.519  0.697  0.416

## Properties
Total moment ... 0.00 μB/atom
ΔE_f ... -1.567 eV/f.u.
Energy ... -8.262 eV/atom

=====

3.
Entry from Alexandria via LeMat-Bulk: an optimized crystal structure of TiTcIr3 (PBE).

a b c (Å): 4.545 4.545 4.545
angles (deg): 90.00 90.00 90.00
Site moments in Bohr magnetons follow the coordinates.
Element x y z (fractional)
Ir  0.000  0.500  0.000  0.33
Ir  0.000  0.000  0.500  0.22
Ir  0.500  0.000  0.000  0.41
Tc  0.500  0.500  0.500  3.08
Ti  0.000  0.000  0.000  -0.05

## Properties
Total moment ... 0.86 μB/atom
ΔE_f ... 6.784 eV/f.u.
Energy ... -7.612 eV/atom

=====

Among the records above, which one has the highest total moment?
TiTcIr3